Entry 1:
Co3SiH | PBE | relaxed

Summary:
ρ = 6.87 Mg/m³
energy above the lowest structure with this stoichiometry = 401 meV per atom
E = -5.899 eV per atom

```
Co3SiH
1.0
-2.3481 2.3481 4.5109
2.3481 -2.3481 4.5109
2.3481 2.3481 -4.5109
Co Si H
6 2 2
Cartesian
0.0000 0.0000 1.1200
1.1881 2.3481 -1.1338
1.1600 0.0000 3.3771
2.3481 1.1881 1.1338
0.0000 1.1600 5.6447
0.0000 0.0000 7.9017
0.0000 2.3481 0.9173
0.0000 2.3481 3.5936
2.3481 0.0000 2.2554
0.0000 0.0000 4.5109
```

---

Entry 2:
Tl2FeH | PBE | relaxed

Summary:
ρ = 10.26 Mg/m³
energy above the lowest structure with this stoichiometry = 108 meV per atom
E = -3.302 eV per atom

```
Tl2FeH
1.0
0.0000 3.3522 3.3522
3.3522 0.0000 3.3522
3.3522 3.3522 0.0000
Tl Fe H
2 1 1
Cartesian
1.6761 1.6761 1.6761
5.0284 5.0284 5.0284
0.0000 0.0000 0.0000
3.3522 3.3522 3.3522
```

---

Entry 3:
Be4AgB2 | PBE | relaxed

Summary:
ρ = 3.01 Mg/m³
E = -3.443 eV per atom
energy of formation from the pure elements = 1.002 eV per atom

```
Be4AgB2
1.0
-2.1640 2.1640 4.8819
2.1640 -2.1640 4.8819
2.1640 2.1640 -4.8819
Be Ag B
4 1 2
Cartesian
2.1640 0.0000 0.0000
0.0000 0.0000 2.2732
0.0000 2.1640 0.0000
0.0000 0.0000 7.4907
0.0000 0.0000 0.0000
0.0000 0.0000 4.0764
0.0000 0.0000 5.6874
```

---

Entry 4:
LiHoSnRh | PBE | relaxed

Summary:
ρ = 8.79 Mg/m³
E = -5.180 eV per atom
energy of formation from the pure elements = -0.718 eV per atom

```
LiHoSnRh
1.0
0.0000 3.3378 3.3378
3.3378 0.0000 3.3378
3.3378 3.3378 0.0000
Li Ho Sn Rh
1 1 1 1
Cartesian
0.0000 0.0000 0.0000
1.6689 1.6689 1.6689
5.0067 5.0067 5.0067
3.3378 3.3378 3.3378
```

---

Entry 5:
TcIr3Rh4 | PBE | relaxed

Summary:
ρ = 15.11 Mg/m³
E = -8.019 eV per atom
energy of formation from the pure elements = 0.275 eV per atom

```
TcIr3Rh4
1.0
-1.3340 2.5536 8.7602
1.3340 -2.5536 8.7602
1.3340 2.5536 -8.7602
Tc Ir Rh
1 3 4
Cartesian
0.0000 0.0000 0.0000
1.3340 0.0000 4.0994
0.0000 0.0000 8.7602
0.0000 2.5536 4.6608
1.3340 -1.2509 6.5787
0.0000 1.3027 2.1816
1.3340 1.2509 6.5787
0.0000 3.8046 2.1816
```

---

Entry 6:
K2GePbO5 | PBE | relaxed

Summary:
ρ = 4.49 Mg/m³
E = -5.272 eV per atom
raw formation energy = -1.349 eV per atom

```
K2GePbO5
1.0
1.6419 -8.0175 0.0000
1.6419 8.0175 0.0000
0.0000 0.0000 12.3171
K Ge Pb O
4 2 2 10
Cartesian
1.6419 6.8469 6.1586
1.6419 5.9412 2.2878
1.6419 -5.9412 8.4464
1.6419 -6.8469 0.0000
1.6419 1.1068 3.3869
1.6419 -1.1068 9.5455
1.6419 4.4316 11.1239
1.6419 -4.4316 4.9653
1.6419 7.1651 10.4795
1.6419 3.1316 6.3053
1.6419 2.9071 3.4120
1.6419 2.4643 10.6255
1.6419 0.2275 1.9348
1.6419 -0.2275 8.0934
1.6419 -2.4643 4.4669
1.6419 -2.9071 9.5706
1.6419 -3.1316 0.1467
1.6419 -7.1651 4.3209
```

---

Entry 7:
Tl3H2Se | PBE | relaxed

Summary:
ρ = 8.34 Mg/m³
E = -2.739 eV per atom

```
Tl3H2Se
1.0
5.5790 -3.7810 0.0000
5.5790 3.7810 0.0000
-2.4263 0.0000 6.5480
Tl H Se
6 4 2
Cartesian
3.7593 2.9640 4.9110
1.5412 0.5587 5.4327
2.7544 -0.5587 2.1587
5.9774 0.5587 4.3893
7.1905 -0.5587 1.1153
4.9724 -2.9640 1.6370
1.3533 0.5022 3.2257
0.1402 -0.5022 6.4997
8.5916 0.5022 0.0483
7.3785 -0.5022 3.3223
4.9724 1.5177 1.6370
3.7593 -1.5177 4.9110
```

---

Entry 8:
PmAgPt | PBE | relaxed

Summary:
ρ = 10.99 Mg/m³
energy above the lowest structure with this stoichiometry = 33 meV per atom
E = -5.288 eV per atom
energy of formation from the pure elements = -0.740 eV per atom

```
PmAgPt
1.0
3.8080 0.0000 0.0000
0.0000 4.0467 0.0000
-1.8839 0.0000 8.7882
Pm Ag Pt
2 2 2
Cartesian
0.0012 1.0117 1.8664
1.9229 3.0350 6.9218
0.0127 1.0117 5.0176
1.9113 3.0350 3.7706
0.0165 1.0117 7.8604
1.9075 3.0350 0.9279
```

---

Entry 9:
Ag2PtPb | PBE | relaxed

Summary:
ρ = 12.73 Mg/m³
E = -3.752 eV per atom
energy of formation from the pure elements = 0.110 eV per atom

```
Ag2PtPb
1.0
2.8532 -5.0664 0.0000
2.8532 5.0664 0.0000
-1.9002 0.0000 2.7882
Ag Pt Pb
2 1 1
Cartesian
1.4266 2.5332 0.0000
1.4266 -2.5332 0.0000
-0.9501 0.0000 1.3941
1.9030 0.0000 1.3941
```

---

Entry 10:
V3Ru2Pt | PBE | relaxed

Summary:
ρ = 10.83 Mg/m³
E = -8.900 eV per atom
energy of formation from the pure elements = -0.242 eV per atom

```
V3Ru2Pt
1.0
2.1965 -6.7163 0.0000
2.1965 6.7163 0.0000
0.0000 0.0000 5.7163
V Ru Pt
6 4 2
Cartesian
0.0000 0.0000 1.3722
0.0000 0.0000 4.3441
2.1965 2.0659 1.4539
2.1965 2.0659 4.2623
2.1965 -2.0659 1.4539
2.1965 -2.0659 4.2623
2.1965 4.3947 2.8581
2.1965 0.0000 0.0000
2.1965 0.0000 2.8581
2.1965 -4.3947 2.8581
2.1965 4.2499 0.0000
2.1965 -4.2499 0.0000
```

---

Entry 11:
Ag2BiCl6 | PBE | relaxed

Summary:
ρ = 4.30 Mg/m³
energy above the lowest structure with this stoichiometry = 0 meV per atom
E = -2.934 eV per atom
raw formation energy = -0.638 eV per atom

```
Ag2BiCl6
1.0
6.3600 0.0000 0.0000
0.0000 6.3600 0.0000
0.0000 0.0000 12.1728
Ag Bi Cl
4 2 12
Cartesian
0.0000 0.0000 2.0234
0.0000 0.0000 10.1493
3.1800 3.1800 4.0629
3.1800 3.1800 8.1098
0.0000 0.0000 6.0864
3.1800 3.1800 0.0000
1.2351 1.2351 0.0000
1.2617 1.2617 4.0054
1.2617 1.2617 8.1674
1.9183 4.4417 2.0810
1.9183 4.4417 10.0917
1.9449 4.4151 6.0864
4.4151 1.9449 6.0864
4.4417 1.9183 2.0810
4.4417 1.9183 10.0917
5.0984 5.0984 4.0054
5.0984 5.0984 8.1674
5.1249 5.1249 0.0000
```

---

Entry 12:
ZnCr2C2 | PBE | relaxed

Summary:
ρ = 6.26 Mg/m³
energy above the lowest structure with this stoichiometry = 2 meV per atom
E = -7.058 eV per atom
energy of formation from the pure elements = 0.736 eV per atom

```
ZnCr2C2
1.0
-1.8533 1.8533 3.7370
1.8533 -1.8533 3.7370
1.8533 1.8533 -3.7370
Zn Cr C
1 2 2
Cartesian
0.0000 0.0000 0.0000
0.0000 0.0000 2.5888
0.0000 0.0000 4.8852
1.8533 0.0000 1.8685
0.0000 1.8533 1.8685
```

---

Entry 13:
YBS3 | PBE | relaxed

Summary:
ρ = 3.99 Mg/m³
energy above the lowest structure with this stoichiometry = 795 meV per atom
E = -5.523 eV per atom
raw formation energy = -0.419 eV per atom

```
YBS3
1.0
4.3354 0.0000 0.0000
0.0000 4.3354 0.0000
0.0000 0.0000 4.3354
Y B S
1 1 3
Cartesian
0.0000 0.0000 0.0000
2.1677 2.1677 2.1677
0.0000 2.1677 2.1677
2.1677 0.0000 2.1677
2.1677 2.1677 0.0000
```